(1)
This record from the Alexandria database describes Pm5Pr2Al4 after structural relaxation. The functional is PBE.

a = 8.6221 Å, b = 3.4235 Å, c = 10.5595 Å
α = 90.00°, β = 98.80°, γ = 90.00°
With the nearest neighbours (Å) after each atom.
Space group P2/m (No. 10)
Inequivalent atoms, fractional coordinates:
Pm 0.0000 0.0000 0.0000  4 Al 3.20, 4 Pm 3.42-3.57
Pm 0.0295 0.0000 0.3432  4 Al 3.21-3.36, 1 Pr 3.26, 3 Pm 3.42-3.43
Pm 0.3493 0.0000 0.8569  6 Al 3.22-3.41, 1 Pr 3.29, 3 Pm 3.42-3.57
Pr 0.4096 0.0000 0.3567  6 Al 3.15-3.34, 3 Pr 3.18-3.42, 2 Pm 3.26-3.29
Al 0.2546 0.5000 0.5767  6 Pm 3.21-3.41, 4 Pr 3.33-3.34, 2 Al 3.42
Al 0.3055 0.5000 0.1074  2 Pr 3.15, 6 Pm 3.20-3.40, 2 Al 3.42

Properties
Electronic total energy = -50.2 eV for the cell shown
E_form = -0.17 eV per atom

***

(2)
This record from the Alexandria database describes HfReRu2S after structural relaxation. The functional is PBE.

a = 4.2607 Å, b = 4.2607 Å, c = 4.6847 Å
α = 90.00°, β = 90.00°, γ = 90.00°
With the nearest neighbours (Å) after each atom.
Space group P4/mmm (No. 123)
Inequivalent atoms, fractional coordinates:
Hf 0.0000 0.0000 0.0000  2 S 2.34
Re 0.5000 0.5000 0.0000  4 Hf 3.01, 8 Ru 3.17
Ru 0.0000 0.5000 0.5000  2 S 2.13
S 0.0000 0.0000 0.5000  4 Ru 2.13, 2 Hf 2.34

Properties
Electronic total energy = -42.6 eV for the cell shown
Formation energy without anion corrections = 506 meV/atom

***

(3)
This record from the Alexandria database describes Sc2SbPb2 after structural relaxation. The functional is PBE.

a = 8.0684 Å, b = 8.0684 Å, c = 4.0863 Å
α = 90.00°, β = 90.00°, γ = 90.00°
With the nearest neighbours (Å) after each atom.
Space group P4/mbm (No. 127)
Inequivalent atoms, fractional coordinates:
Sc 0.1643 0.3357 0.0000  6 Pb 3.04-3.19
Sb 0.0000 0.0000 0.5000  4 Pb 3.12
Pb 0.1387 0.6387 0.5000  6 Sc 3.04-3.19, 2 Sb 3.12, 1 Pb 3.16

Properties
Electronic total energy = -50.1 eV for the cell shown
Formation energy without anion corrections = -166 meV/atom
E above lowest polymorph = 0.249 eV per atom

***

(4)
This record from the Alexandria database describes ErHf2Rh3 after structural relaxation. The functional is PBE.

a = 3.2710 Å, b = 3.2710 Å, c = 10.2652 Å
α = 90.00°, β = 90.00°, γ = 90.00°
With the nearest neighbours (Å) after each atom.
Space group P4/mmm (No. 123)
Inequivalent atoms, fractional coordinates:
Er 0.0000 0.0000 0.0000  8 Rh 3.03, 4 Er 3.27
Hf 0.0000 0.0000 0.3371  8 Rh 2.76-2.85
Rh 0.5000 0.5000 0.1911  4 Hf 2.76, 4 Er 3.03
Rh 0.5000 0.5000 0.5000  8 Hf 2.85, 2 Rh 3.17

Properties
Electronic total energy = -52.0 eV for the cell shown
E_form = -0.91 eV per atom

***

(5)
This record from the Alexandria database describes Hf10Sn3Sb3 after structural relaxation. The functional is PBE.

a = 8.4368 Å, b = 8.4368 Å, c = 5.7009 Å
α = 90.00°, β = 90.00°, γ = 120.00°
With the nearest neighbours (Å) after each atom.
Space group P-62m (No. 189)
Inequivalent atoms, fractional coordinates:
Hf 0.0000 0.2535 0.0000  3 Sn 2.88-3.03, 2 Sb 3.09
Hf 0.0000 0.7643 0.5000  3 Sb 2.91-3.11, 2 Sn 3.13
Hf 0.3333 0.6667 0.2483  2 Hf 2.83-2.87, 3 Sb 2.96, 3 Sn 2.97
Sn 0.0000 0.6125 0.0000  9 Hf 2.88-3.13
Sb 0.0000 0.3956 0.5000  9 Hf 2.91-3.11

Properties
Electronic total energy = -130.5 eV for the cell shown
Formation energy without anion corrections = -413 meV/atom

***

(6)
This record from the Alexandria database describes NaPaSe3 after structural relaxation. The functional is PBE.

a = 7.1758 Å, b = 7.1758 Å, c = 21.3164 Å
α = 90.00°, β = 90.00°, γ = 120.00°
With the nearest neighbours (Å) after each atom.
Space group R32 (No. 155, hexagonal axes)
Inequivalent atoms, fractional coordinates:
Na 0.0000 0.0000 0.1394  6 Se 3.19-3.20
Pa 0.0000 0.0000 0.3348  6 Se 2.79-2.80
Se 0.0025 0.4132 0.9171  2 Pa 2.79-2.80

Properties
Electronic total energy = -163.8 eV for the cell shown
Formation energy without anion corrections = -1208 meV/atom
E above lowest polymorph = 0.005 eV per atom

***

(7)
This record from the Alexandria database describes NaAcSn after structural relaxation. The functional is PBE.

a = 8.3330 Å, b = 8.3330 Å, c = 4.9726 Å
α = 90.00°, β = 90.00°, γ = 120.00°
With the nearest neighbours (Å) after each atom.
Space group P-62m (No. 189)
Inequivalent atoms, fractional coordinates:
Na 0.0000 0.7611 0.0000  4 Sn 3.18-3.24, 2 Na 3.45
Ac 0.0000 0.4177 0.5000  5 Sn 3.48-3.53, 2 Na 3.79
Sn 0.0000 0.0000 0.5000  6 Na 3.18, 3 Ac 3.48
Sn 0.3333 0.6667 0.0000  3 Na 3.24, 6 Ac 3.53

Properties
Electronic total energy = -32.7 eV for the cell shown
E above lowest polymorph = 0.000 eV per atom
E_form = -0.49 eV per atom

***

(8)
This record from the Alexandria database describes RbTlGa2Br4 after structural relaxation. The functional is PBE.

a = 8.0650 Å, b = 4.6670 Å, c = 8.0761 Å
α = 90.00°, β = 109.43°, γ = 90.00°
With the nearest neighbours (Å) after each atom.
Space group P2/m (No. 10)
Inequivalent atoms, fractional coordinates:
Rb 0.0000 0.0000 0.0000  6 Br 3.39-3.40
Tl 0.5000 0.5000 0.0000  6 Br 3.38-3.39
Ga 0.0000 0.5000 0.5000  6 Br 3.20-3.22
Ga 0.5000 0.0000 0.5000  6 Br 3.20
Br 0.2446 0.0000 0.7304  3 Ga 3.20-3.22, 2 Tl 3.38, 1 Rb 3.39
Br 0.2580 0.5000 0.2724  3 Ga 3.20, 1 Tl 3.39, 2 Rb 3.40

Properties
Electronic total energy = -23.3 eV for the cell shown
Formation energy without anion corrections = -907 meV/atom

***

(9)
This record from the Alexandria database describes Cs2HfAlTe4 after structural relaxation. The functional is PBE.

a = 7.1639 Å, b = 15.1728 Å, c = 27.4382 Å
α = 90.00°, β = 90.00°, γ = 90.00°
With the nearest neighbours (Å) after each atom.
Space group Fddd (No. 70, origin choice 2)
Inequivalent atoms, fractional coordinates:
Cs 0.1250 0.1250 0.3045  8 Te 4.12-4.33
Hf 0.1250 0.1250 0.1250  4 Te 2.75
Al 0.1250 0.1250 0.6250  4 Te 2.71
Te 0.1205 0.2789 0.8219  1 Al 2.71, 1 Hf 2.75

Properties
Electronic total energy = -274.0 eV for the cell shown
Formation energy without anion corrections = -785 meV/atom

***

(10)
This record from the Alexandria database describes Hf2ThTi after structural relaxation. The functional is PBE.

a = 3.5713 Å, b = 3.5713 Å, c = 7.4009 Å
α = 90.00°, β = 90.00°, γ = 90.00°
With the nearest neighbours (Å) after each atom.
Space group P4/mmm (No. 123)
Inequivalent atoms, fractional coordinates:
Hf 0.0000 0.0000 0.2024  4 Ti 2.94, 1 Hf 3.00
Th 0.5000 0.5000 0.5000  8 Hf 3.35, 4 Th 3.57, 2 Ti 3.70
Ti 0.5000 0.5000 0.0000  8 Hf 2.94

Properties
Electronic total energy = -34.6 eV for the cell shown
E above lowest polymorph = 0.000 eV per atom
E_form = 0.15 eV per atom

***

(11)
This record from the Alexandria database describes NbTc2H after structural relaxation. The functional is PBE.

a = 6.7131 Å, b = 6.7131 Å, c = 4.5357 Å
α = 90.00°, β = 90.00°, γ = 90.00°
With the nearest neighbours (Å) after each atom.
Space group I-42d (No. 122)
Inequivalent atoms, fractional coordinates:
Nb 0.0000 0.0000 0.0000  2 H 2.27
Tc 0.1437 0.7500 0.6250  2 H 2.02
H 0.0000 0.0000 0.5000  4 Tc 2.02

Properties
Electronic total energy = -134.4 eV for the cell shown
E above lowest polymorph = 0.000 eV per atom

***

(12)
This record from the Alexandria database describes AsIr2W after structural relaxation. The functional is PBE.

a = 5.6469 Å, b = 5.6469 Å, c = 10.9898 Å
α = 90.00°, β = 90.00°, γ = 90.00°
With the nearest neighbours (Å) after each atom.
Space group I-42d (No. 122)
Inequivalent atoms, fractional coordinates:
As 0.0000 0.0000 0.0000  4 Ir 2.40
Ir 0.2429 0.2500 0.1250  2 As 2.40, 2 W 2.45
W 0.0000 0.0000 0.5000  4 Ir 2.45

Properties
Electronic total energy = -134.0 eV for the cell shown
E_form = 0.46 eV per atom